1.
NaIn2Sb2: relaxed, GGA-PBE.

Unit cell a=4.8140 b=4.8140 c=14.3280 alpha=90.00 beta=90.00 gamma=90.00
Last column: nearest neighbours and their distance in Å.
Space group I4/mmm (No. 139)
One atom of each set of equivalent atoms:
Na (0.0000, 0.0000, 0.0000) (multiplicity 2)  8 Sb 3.81
In (0.0000, 0.5000, 0.2500) (multiplicity 4)  4 Sb 3.05, 4 In 3.40
Sb (0.0000, 0.0000, 0.3806) (multiplicity 4)  4 In 3.05

Properties
As for the total magnetic moment: 0.00 Bohr magnetons per cell. The calculation puts the uncorrected formation energy at -0.09 eV/atom. The value obtained for the calculated total energy is -3.10 eV/atom.



2.
NaInSb2: relaxed, GGA-PBE.

Unit cell a=4.6596 b=4.6596 c=5.0364 alpha=90.00 beta=90.00 gamma=90.00
Last column: nearest neighbours and their distance in Å.
Space group P4/mmm (No. 123)
One atom of each set of equivalent atoms:
Na (0.0000, 0.0000, 0.0000) (multiplicity 1)  4 In 3.29, 8 Sb 3.43
In (0.5000, 0.5000, 0.0000) (multiplicity 1)  4 Na 3.29, 8 Sb 3.43
Sb (0.0000, 0.5000, 0.5000) (multiplicity 2)  4 Sb 3.29, 4 Na 3.43, 4 In 3.43

Properties
As for the total magnetic moment: 0.00 Bohr magnetons per cell. The calculation puts the uncorrected formation energy at -0.11 eV/atom. The value obtained for the calculated total energy is -3.18 eV/atom.



3.
Na3InSb3: relaxed, GGA-PBE.

Unit cell a=12.1182 b=5.0161 c=14.6131 alpha=90.00 beta=107.21 gamma=90.00
Last column: nearest neighbours and their distance in Å.
Space group C2/m (No. 12)
One atom of each set of equivalent atoms:
Na (0.0006, 0.0000, 0.3657) (multiplicity 4)  4 Sb 3.22-3.34, 2 In 3.48
Na (0.1074, 0.0000, 0.9222) (multiplicity 4)  7 Sb 3.32-3.65, 1 Na 3.67
Na (0.2031, 0.0000, 0.2050) (multiplicity 4)  4 Sb 3.17-3.48
In (0.2071, 0.5000, 0.3940) (multiplicity 4)  4 Sb 2.95-3.01
Sb (0.0033, 0.5000, 0.7732) (multiplicity 4)  1 Sb 2.96, 1 In 2.96, 2 Na 3.22
Sb (0.1092, 0.5000, 0.0725) (multiplicity 4)  2 Sb 2.86-2.96, 2 Na 3.17
Sb (0.1488, 0.5000, 0.5764) (multiplicity 4)  3 In 2.95-3.01, 1 Na 3.17

Properties
As for the total magnetic moment: 0.00 Bohr magnetons per cell. The value obtained for the offset from the most stable computed form is 0 meV/atom. The calculation puts the uncorrected formation energy at -0.28 eV/atom. The value obtained for the calculated total energy is -3.01 eV/atom.